1.
Compound: Pu2AgAu
Source: the Alexandria database
Functional: GGA-PBE
Structure: optimized geometry

Structure (CIF):
```
data_Pu2AgAu
_symmetry_space_group_name_H-M 'P 4/m m m'
_symmetry_Int_Tables_number 123
_symmetry_space_group_name_Hall '-P 4 2'
_cell_length_a 4.539
_cell_length_b 4.539
_cell_length_c 4.481
_cell_angle_alpha 90.00
_cell_angle_beta 90.00
_cell_angle_gamma 90.00
loop_
_atom_site_label
_atom_site_fract_x
_atom_site_fract_y
_atom_site_fract_z
_atom_site_occupancy
Pu1 0.000 0.500 0.000 1
Ag1 0.000 0.000 0.500 1
Au1 0.500 0.500 0.500 1
```

---

2.
Compound: Pu2AgAu
Source: the Alexandria database
Functional: GGA-PBE
Structure: optimized geometry

Structure (CIF):
```
data_Pu2AgAu
_symmetry_space_group_name_H-M 'P 4/m m m'
_symmetry_Int_Tables_number 123
_symmetry_space_group_name_Hall '-P 4 2'
_cell_length_a 3.935
_cell_length_b 3.935
_cell_length_c 6.138
_cell_angle_alpha 90.00
_cell_angle_beta 90.00
_cell_angle_gamma 90.00
loop_
_atom_site_label
_atom_site_fract_x
_atom_site_fract_y
_atom_site_fract_z
_atom_site_occupancy
Pu1 0.000 0.000 0.245 1
Ag1 0.500 0.500 0.500 1
Au1 0.500 0.500 0.000 1
```

---

The calculation returns the following D(E_F) values, one per record and in order: 3.180; 4.036 states/eV/atom.
The calculation returns the following energy values, one per record and in order: -8.8572; -8.8565 eV/atom.